[1]
An optimized crystal structure of Pa2TlPdO8, computed with PBE.

Values from the calculation:
Total magnetization (μB/atom): 0.000
Formation energy from raw total energies (meV/atom): -1924

Cell lengths 5.4712, 5.4712, 7.4544 Å; angles 90.00, 90.00, 120.00 degrees
Fractional coordinates of all 12 atoms:
O (0.1802, 0.8198, 0.1323)
O (0.8198, 0.6397, 0.8677)
O (0.6397, 0.8198, 0.1323)
O (0.8198, 0.1802, 0.8677)
O (0.3333, 0.6667, 0.6358)
O (0.1802, 0.3603, 0.1323)
O (0.6667, 0.3333, 0.3642)
O (0.3603, 0.1802, 0.8677)
Pd (0.0000, 0.0000, 0.0000)
Pa (0.3333, 0.6667, 0.8870)
Pa (0.6667, 0.3333, 0.1130)
Tl (0.0000, 0.0000, 0.5000)

[2]
An optimized crystal structure of LaSmAg4, computed with PBE.

Values from the calculation:
Excess energy over the best structure of this formula in the dataset (meV per atom): 0
Total magnetization (μB/atom): 0.000

Cell lengths 4.8541, 4.8540, 8.5888 Å; angles 73.61, 73.60, 120.11 degrees
Fractional coordinates of all 6 atoms:
Ag (0.1026, 0.4316, 0.7304)
Ag (0.4354, 0.0985, 0.7305)
Ag (0.5672, 0.8961, 0.2658)
Ag (0.9000, 0.5630, 0.2659)
La (0.5013, 0.4972, 0.9981)
Sm (0.0013, 0.9974, 0.4981)

[3]
An optimized crystal structure of ZrGeTe2, computed with PBE.

Values from the calculation:
Total magnetization (μB/atom): 0.463
Formation energy from raw total energies (meV/atom): 47

Cell lengths 6.7828, 6.7828, 7.9501 Å; angles 64.75, 64.75, 90.00 degrees
Last column: magnetic moment on the atom in μB.
Fractional coordinates of all 8 atoms:
Ge (0.5000, 0.5000, 0.0000)  0.15
Ge (0.2500, 0.7500, 0.5000)  0.15
Te (0.3750, 0.3668, 0.7500)  -0.03
Te (0.1168, 0.6250, 0.2500)  -0.03
Te (0.6332, 0.1250, 0.2500)  -0.03
Te (0.8750, 0.8832, 0.7500)  -0.03
Zr (0.0000, 0.0000, 0.0000)  0.94
Zr (0.7500, 0.2500, 0.5000)  0.96

[4]
An optimized crystal structure of CsCuPdS2, computed with PBE.

Values from the calculation:
Total magnetization (μB/atom): 0.000
Formation energy from raw total energies (meV/atom): -547

Cell lengths 3.9577, 7.3334, 7.7331 Å; angles 90.03, 90.00, 90.00 degrees
Fractional coordinates of all 10 atoms:
Cs (0.9994, 0.5000, 0.2500)
Cs (0.0006, 0.5000, 0.7500)
Cu (0.0000, 0.0000, 0.5000)
Cu (0.0000, 0.0000, 0.0000)
S (0.5004, 0.7980, 0.9998)
S (0.4996, 0.2020, 0.0002)
S (0.5004, 0.2020, 0.5002)
S (0.4996, 0.7980, 0.4998)
Pd (0.5000, 0.0000, 0.7500)
Pd (0.5000, 0.0000, 0.2500)

[5]
An optimized crystal structure of NpCrGaTc, computed with PBE.

Values from the calculation:
Total magnetization (μB/atom): 1.152
Electronic total energy (eV/atom): -8.88

Cell lengths 4.5023, 4.5023, 4.5023 Å; angles 60.00, 60.00, 60.00 degrees
Last column: magnetic moment on the atom in μB.
Fractional coordinates of all 4 atoms:
Np (0.0000, 0.0000, 0.0000)  2.89
Tc (0.7500, 0.7500, 0.7500)  -0.19
Ga (0.5000, 0.5000, 0.5000)  -0.04
Cr (0.2500, 0.2500, 0.2500)  1.81

[6]
An optimized crystal structure of BeReHg2, computed with PBE.

Values from the calculation:
Total magnetization (μB/atom): 0.000
Electronic total energy (eV/atom): -3.63

Cell lengths 2.8028, 2.8028, 9.5895 Å; angles 90.00, 90.00, 108.75 degrees
Fractional coordinates of all 4 atoms:
Hg (0.5000, 0.5000, 0.2822)
Hg (0.0000, 0.0000, 0.9478)
Re (0.0000, 0.0000, 0.5511)
Be (0.5000, 0.5000, 0.7190)

[7]
An optimized crystal structure of Th3Tl5, computed with PBE.

Values from the calculation:
Excess energy over the best structure of this formula in the dataset (meV per atom): 28
Total magnetization (μB/atom): 0.000

Cell lengths 4.8907, 6.8915, 6.8915 Å; angles 92.94, 90.00, 90.00 degrees
Fractional coordinates of all 8 atoms:
Th (0.5000, 0.2309, 0.7691)
Th (0.0000, 0.5000, 0.5000)
Th (0.5000, 0.7691, 0.2309)
Tl (0.5000, 0.7364, 0.7364)
Tl (0.0000, 0.0000, 0.5000)
Tl (0.0000, 0.5000, 0.0000)
Tl (0.0000, 0.0000, 0.0000)
Tl (0.5000, 0.2636, 0.2636)

[8]
An optimized crystal structure of PtSe2Cl, computed with PBE.

Values from the calculation:
Excess energy over the best structure of this formula in the dataset (meV per atom): 571
Total magnetization (μB/atom): 0.000
Formation energy from raw total energies (meV/atom): 226

Cell lengths 3.4659, 3.4822, 6.9503 Å; angles 90.00, 90.00, 90.00 degrees
Fractional coordinates of all 4 atoms:
Se (0.0000, 0.0000, 0.5735)
Se (0.0000, 0.0000, 0.9265)
Cl (0.5000, 0.5000, 0.2500)
Pt (0.5000, 0.5000, 0.7500)